Compound: Pm4AlZn2Pd
Source: Alexandria
Functional: PBE
Structure: relaxed

Geometry as CIF:
```
data_Pm4AlZn2Pd
_cell_length_a 5.1680
_cell_length_b 5.1680
_cell_length_c 25.3312
_cell_angle_alpha 90.00
_cell_angle_beta 90.00
_cell_angle_gamma 120.00
_symmetry_space_group_name_H-M 'R -3 m'
_symmetry_Int_Tables_number 166
_symmetry_space_group_name_Hall '-R 3 2"'
loop_
_atom_site_label
_atom_site_type_symbol
_atom_site_fract_x
_atom_site_fract_y
_atom_site_fract_z
Pm1 Pm 0.0000 0.0000 0.1218
Pm2 Pm 0.0000 0.0000 0.3728
Al1 Al 0.0000 0.0000 0.5000
Zn1 Zn 0.0000 0.0000 0.2444
Pd1 Pd 0.0000 0.0000 0.0000
```

ΔE_f in eV per atom: -0.4432
Calculated volume in Å³/atom: 24.41
Crystal system: trigonal
E_tot in eV per atom: -4.2539



Compound: Sc12Ni6Bi
Source: Alexandria
Functional: PBE
Structure: relaxed

Geometry as CIF:
```
data_Sc12Ni6Bi
_cell_length_a 9.094
_cell_length_b 9.094
_cell_length_c 9.094
_cell_angle_alpha 90.00
_cell_angle_beta 90.00
_cell_angle_gamma 90.00
_symmetry_space_group_name_H-M 'I m -3'
_symmetry_Int_Tables_number 204
_symmetry_space_group_name_Hall '-I 2 2 3'
loop_
_atom_site_label
_atom_site_type_symbol
_atom_site_fract_x
_atom_site_fract_y
_atom_site_fract_z
Sc1 Sc 0.000 0.301 0.190
Ni1 Ni 0.000 0.131 0.500
Bi1 Bi 0.000 0.000 0.000
```

ΔE_f in eV per atom: -0.4171
Calculated volume in Å³/atom: 19.79
Crystal system: cubic
E_tot in eV per atom: -6.4459



Compound: HfGaB3
Source: Alexandria
Functional: PBE
Structure: relaxed

Geometry as CIF:
```
data_HfGaB3
_cell_length_a 4.006
_cell_length_b 4.006
_cell_length_c 4.006
_cell_angle_alpha 90.00
_cell_angle_beta 90.00
_cell_angle_gamma 90.00
_symmetry_space_group_name_H-M 'P m -3 m'
_symmetry_Int_Tables_number 221
_symmetry_space_group_name_Hall '-P 4 2 3'
loop_
_atom_site_label
_atom_site_type_symbol
_atom_site_fract_x
_atom_site_fract_y
_atom_site_fract_z
Hf1 Hf 0.000 0.000 0.000
Ga1 Ga 0.500 0.500 0.500
B1 B 0.000 0.500 0.500
```

ΔE to the lowest computed polymorph in meV per atom: 0
ΔE_f in eV per atom: 1.3370
Calculated volume in Å³/atom: 12.86
Crystal system: cubic
E_tot in eV per atom: -5.2655



Compound: SrCdTeSe2
Source: Alexandria
Functional: PBE
Structure: relaxed

Geometry as CIF:
```
data_SrCdTeSe2
_cell_length_a 5.598
_cell_length_b 5.598
_cell_length_c 5.426
_cell_angle_alpha 90.00
_cell_angle_beta 90.00
_cell_angle_gamma 90.00
_symmetry_space_group_name_H-M 'P 4/m m m'
_symmetry_Int_Tables_number 123
_symmetry_space_group_name_Hall '-P 4 2'
loop_
_atom_site_label
_atom_site_type_symbol
_atom_site_fract_x
_atom_site_fract_y
_atom_site_fract_z
Sr1 Sr 0.000 0.000 0.000
Cd1 Cd 0.500 0.500 0.000
Te1 Te 0.500 0.500 0.500
Se1 Se 0.000 0.500 0.500
```

Calculated volume in Å³/atom: 34.00
Crystal system: tetragonal
E_tot in eV per atom: -2.8935



Compound: Th5Sb3Rh
Source: Alexandria
Functional: PBE
Structure: relaxed

Geometry as CIF:
```
data_Th5Sb3Rh
_cell_length_a 9.5090
_cell_length_b 9.5090
_cell_length_c 6.4935
_cell_angle_alpha 90.00
_cell_angle_beta 90.00
_cell_angle_gamma 120.00
_symmetry_space_group_name_H-M 'P 63/m c m'
_symmetry_Int_Tables_number 193
_symmetry_space_group_name_Hall '-P 6c 2'
loop_
_atom_site_label
_atom_site_type_symbol
_atom_site_fract_x
_atom_site_fract_y
_atom_site_fract_z
Th1 Th 0.0000 0.2544 0.2500
Th2 Th 0.3333 0.6667 0.0000
Sb1 Sb 0.0000 0.3896 0.7500
Rh1 Rh 0.0000 0.0000 0.0000
```

Calculated volume in Å³/atom: 28.25
Crystal system: hexagonal
E_tot in eV per atom: -7.1604



Compound: Sr2LiRh
Source: Alexandria
Functional: PBE
Structure: relaxed

Geometry as CIF:
```
data_Sr2LiRh
_cell_length_a 4.468
_cell_length_b 4.448
_cell_length_c 11.591
_cell_angle_alpha 90.00
_cell_angle_beta 90.00
_cell_angle_gamma 90.00
_symmetry_space_group_name_H-M 'A m m 2'
_symmetry_Int_Tables_number 38
_symmetry_space_group_name_Hall 'A 2 -2'
loop_
_atom_site_label
_atom_site_type_symbol
_atom_site_fract_x
_atom_site_fract_y
_atom_site_fract_z
Sr1 Sr 0.000 0.000 0.000
Sr2 Sr 0.500 0.000 0.277
Li1 Li 0.500 0.000 0.590
Rh1 Rh 0.000 0.000 0.698
```

ΔE_f in eV per atom: -0.1384
Calculated volume in Å³/atom: 28.79
Crystal system: orthorhombic
E_tot in eV per atom: -3.2957